*one*
Crystalline CoP3Ir at its relaxed geometry, computed with PBE-GGA.

Lattice parameters (Å, degrees): 6.0593 3.6592 7.7703 90.00 119.16 90.00
Element x y z (fractional)
1 P 0.4336 0.0000 0.4349
2 P 0.4336 0.5000 0.9349
3 P 0.9984 0.5000 0.4968
4 P 0.8790 0.5000 0.1853
5 P 0.8790 0.0000 0.6853
6 P 0.9984 0.0000 0.9968
7 Ir 0.2539 0.5000 0.1605
8 Ir 0.2539 0.0000 0.6605
9 Co 0.6649 0.0000 0.0291
10 Co 0.6649 0.5000 0.5291

***

*two*
Crystalline CoP3Ir at its relaxed geometry, computed with PBE-GGA.

Lattice parameters (Å, degrees): 3.5641 4.1096 5.7366 98.15 90.40 115.02
Element x y z (fractional)
1 P 0.1616 0.2998 0.7742
2 P 0.8907 0.3622 0.4080
3 P 0.3782 0.7675 0.0494
4 Co 0.9097 0.8374 0.2815
5 Ir 0.4715 0.9289 0.6488

***

Energy above the most stable structure, in eV/atom: *one* 0.000; *two* 0.074

***

*one*
Crystalline Co3PIr at its relaxed geometry, computed with PBE-GGA.

Lattice parameters (Å, degrees): 4.5309 4.5309 4.5309 90.00 90.00 90.00
Element x y z (fractional)
1 Co 0.0000 0.5000 0.0000
2 Co 0.0000 0.0000 0.5000
3 Co 0.5000 0.0000 0.0000
4 P 0.5000 0.5000 0.5000
5 Ir 0.0000 0.0000 0.0000

***

*two*
Crystalline Co3PIr at its relaxed geometry, computed with PBE-GGA.

Lattice parameters (Å, degrees): 4.0846 4.0846 4.0846 90.00 90.00 90.00
Element x y z (fractional)
1 P 0.0000 0.0000 0.0000
2 Co 0.0000 0.0000 0.5000
3 Co 0.0000 0.5000 0.0000
4 Co 0.5000 0.0000 0.0000
5 Ir 0.5000 0.5000 0.5000

***

Energy above the most stable structure, in eV/atom: *one* 1.021; *two* 0.000

***

*one*
Crystalline CoPIr3 at its relaxed geometry, computed with PBE-GGA.

Lattice parameters (Å, degrees): 4.4553 4.4553 4.4553 90.00 90.00 90.00
Element x y z (fractional)
1 Ir 0.0000 0.0000 0.5000
2 Ir 0.0000 0.5000 0.0000
3 Ir 0.5000 0.0000 0.0000
4 Co 0.0000 0.0000 0.0000
5 P 0.5000 0.5000 0.5000

***

*two*
Crystalline CoPIr3 at its relaxed geometry, computed with PBE-GGA.

Lattice parameters (Å, degrees): 4.3481 4.3481 4.3481 90.00 90.00 90.00
Element x y z (fractional)
1 Ir 0.0000 0.5000 0.0000
2 Ir 0.5000 0.0000 0.0000
3 Ir 0.0000 0.0000 0.5000
4 P 0.0000 0.0000 0.0000
5 Co 0.5000 0.5000 0.5000

***

Energy above the most stable structure, in eV/atom: *one* 0.730; *two* 0.000

***

*one*
Crystalline Y2CoPIr at its relaxed geometry, computed with PBE-GGA.

Lattice parameters (Å, degrees): 5.1547 4.2815 5.1547 90.00 90.00 90.00
Element x y z (fractional)
1 Co 0.0000 0.0000 0.0000
2 Y 0.0000 0.0000 0.5000
3 Y 0.5000 0.0000 0.0000
4 P 0.5000 0.5000 0.5000
5 Ir 0.0000 0.5000 0.0000

***

*two*
Crystalline Y2CoPIr at its relaxed geometry, computed with PBE-GGA.

Lattice parameters (Å, degrees): 5.2220 3.9964 5.2220 90.00 90.00 90.00
Element x y z (fractional)
1 Ir 0.5000 0.5000 0.5000
2 Co 0.0000 0.5000 0.0000
3 P 0.0000 0.0000 0.0000
4 Y 0.5000 0.0000 0.0000
5 Y 0.0000 0.0000 0.5000

***

Energy above the most stable structure, in eV/atom: *one* 0.252; *two* 0.000

***

*one*
Crystalline PaCoIr2 at its relaxed geometry, computed with PBE-GGA.

Lattice parameters (Å, degrees): 4.0248 4.0075 4.0075 90.00 90.00 90.00
Element x y z (fractional)
1 Ir 0.0000 0.0000 0.5000
2 Ir 0.0000 0.5000 0.0000
3 Co 0.5000 0.0000 0.0000
4 Pa 0.5000 0.5000 0.5000

***

*two*
Crystalline PaCoIr2 at its relaxed geometry, computed with PBE-GGA.

Lattice parameters (Å, degrees): 4.2943 4.2943 5.0911 65.06 65.06 60.00
Element x y z (fractional)
1 Co 0.0000 0.0000 0.0000
2 Ir 0.2899 0.2899 0.1303
3 Ir 0.7101 0.7101 0.8697
4 Pa 0.5000 0.5000 0.5000

***

Energy above the most stable structure, in eV/atom: *one* 0.000; *two* 0.314

***

*one*
Crystalline Pa2Co2Ir at its relaxed geometry, computed with PBE-GGA.

Lattice parameters (Å, degrees): 4.0184 5.1097 5.1097 73.68 66.85 66.85
Element x y z (fractional)
1 Pa 0.2221 0.2779 0.2779
2 Pa 0.7779 0.7221 0.7221
3 Co 0.5000 0.3012 0.6988
4 Co 0.5000 0.6988 0.3012
5 Ir 0.0000 0.0000 0.0000

***

*two*
Crystalline Pa2Co2Ir at its relaxed geometry, computed with PBE-GGA.

Lattice parameters (Å, degrees): 7.0653 7.0653 6.9271 90.00 90.00 90.00
Element x y z (fractional)
1 Ir 0.0000 0.0000 0.2495
2 Ir 0.0000 0.0000 0.7505
3 Ir 0.5000 0.5000 0.2505
4 Ir 0.5000 0.5000 0.7495
5 Pa 0.1813 0.6811 0.0000
6 Pa 0.3189 0.1813 0.0000
7 Pa 0.3187 0.1811 0.5000
8 Pa 0.1811 0.6813 0.5000
9 Pa 0.8187 0.3189 0.0000
10 Pa 0.6811 0.8187 0.0000
11 Pa 0.8189 0.3187 0.5000
12 Pa 0.6813 0.8189 0.5000
13 Co 0.3715 0.8715 0.7500
14 Co 0.8715 0.6285 0.7500
15 Co 0.6285 0.1285 0.2500
16 Co 0.1285 0.3715 0.2500
17 Co 0.3715 0.8715 0.2500
18 Co 0.8715 0.6285 0.2500
19 Co 0.6285 0.1285 0.7500
20 Co 0.1285 0.3715 0.7500

***

Energy above the most stable structure, in eV/atom: *one* 0.048; *two* 0.000